Entry 1:
AcTbPaS6: relaxed, GGA-PBE.

Cell lengths 5.9096, 7.0793, 7.0793 Å; angles 120.00, 90.00, 90.00 degrees
Each line ends with the local moment (μB).
Sites, in units of the cell vectors:
S (0.2441, 0.6607, 0.9683)  0.05
S (0.7559, 0.3076, 0.9683)  0.05
Pa (0.0000, 0.3333, 0.6667)  -0.02
S (0.7559, 0.6607, 0.6924)  0.05
S (0.7559, 0.0317, 0.3393)  0.05
S (0.2441, 0.0317, 0.6924)  0.05
S (0.2441, 0.3076, 0.3393)  0.05
Ac (0.5000, 0.6667, 0.3333)  0.01
Tb (0.5000, 0.0000, 0.0000)  0.00

Output
E_tot   -56.97 eV for the cell shown
ΔE_f (raw)   -1.552 eV/atom
Crystal system   trigonal
Density of states at the Fermi level   10.5 states/eV per cell

---

Entry 2:
Mg6CuSi: relaxed, GGA-PBE.

Cell lengths 6.0455, 6.0455, 4.7828 Å; angles 90.00, 90.00, 117.32 degrees
Sites, in units of the cell vectors:
Mg (0.8309, 0.1691, 0.0000)
Cu (0.1681, 0.8319, 0.5000)
Mg (0.6618, 0.8359, 0.5000)
Si (0.6650, 0.3350, 0.5000)
Mg (0.3353, 0.1553, 0.0000)
Mg (0.3301, 0.6699, 0.0000)
Mg (0.8447, 0.6647, 0.0000)
Mg (0.1641, 0.3382, 0.5000)

Output
E_tot   -18.62 eV for the cell shown
ΔE_f (raw)   0.059 eV/atom
Crystal system   orthorhombic
Density of states at the Fermi level   3.3 states/eV per cell

---

Entry 3:
CaSm6Y4: relaxed, GGA-PBE.

Cell lengths 7.8287, 7.8287, 8.6195 Å; angles 117.01, 117.01, 90.00 degrees
Sites, in units of the cell vectors:
Y (0.9169, 0.9169, 0.1562)
Sm (0.9360, 0.4411, 0.3771)
Sm (0.4411, 0.9360, 0.3771)
Sm (0.0640, 0.0640, 0.6229)
Sm (0.5000, 0.0000, 0.0000)
Y (0.7606, 0.0831, 0.8438)
Sm (0.5589, 0.5589, 0.6229)
Sm (0.0000, 0.5000, 0.0000)
Ca (0.5000, 0.5000, 0.0000)
Y (0.0831, 0.7606, 0.8438)
Y (0.2394, 0.2394, 0.1562)

Output
E_tot   -51.76 eV for the cell shown
Crystal system   tetragonal
Energy of formation from the pure elements   0.4012 eV/atom
Density of states at the Fermi level   17.2 states/eV per cell

---

Entry 4:
Sm3Dy5Y3: relaxed, GGA-PBE.

Cell lengths 5.5379, 9.6402, 9.6402 Å; angles 120.00, 90.00, 90.00 degrees
Sites, in units of the cell vectors:
Dy (0.5000, 0.2702, 0.2702)
Y (0.0000, 0.5467, 0.0000)
Y (0.0000, 0.0000, 0.5467)
Sm (0.5000, 0.6353, 0.6353)
Y (0.0000, 0.4533, 0.4533)
Dy (0.5000, 0.0000, 0.7298)
Sm (0.5000, 0.3647, 0.0000)
Dy (0.5000, 0.6667, 0.3333)
Sm (0.5000, 0.0000, 0.3647)
Dy (0.5000, 0.7298, 0.0000)
Dy (0.5000, 0.3333, 0.6667)

Output
E_tot   -47.66 eV for the cell shown
Crystal system   hexagonal
Energy of formation from the pure elements   0.8087 eV/atom
Density of states at the Fermi level   18.0 states/eV per cell

---

Entry 5:
Cs2Rb6Ag: relaxed, GGA-PBE.

Cell lengths 10.2765, 10.2765, 10.2789 Å; angles 59.98, 59.98, 60.01 degrees
Sites, in units of the cell vectors:
Ag (0.5000, 0.5000, 0.5000)
Cs (0.7500, 0.7500, 0.7504)
Rb (0.2504, 0.7493, 0.7497)
Rb (0.2504, 0.2504, 0.7490)
Rb (0.7493, 0.2504, 0.7497)
Rb (0.2507, 0.7496, 0.2503)
Cs (0.2500, 0.2500, 0.2496)
Rb (0.7496, 0.2507, 0.2503)
Rb (0.7496, 0.7496, 0.2510)

Output
E_tot   -10.10 eV for the cell shown
Crystal system   monoclinic
Energy of formation from the pure elements   0.0290 eV/atom
Density of states at the Fermi level   8.7 states/eV per cell

---

Entry 6:
ThAl2Ni9: relaxed, GGA-PBE.

Cell lengths 4.7448, 8.1110, 8.1110 Å; angles 90.00, 90.00, 90.00 degrees
Sites, in units of the cell vectors:
Ni (0.7602, 0.3230, 0.1770)
Ni (0.5000, 0.7105, 0.5657)
Ni (0.5000, 0.7895, 0.0657)
Ni (0.7602, 0.6770, 0.8230)
Al (0.0000, 0.8816, 0.6184)
Ni (0.5000, 0.2105, 0.9343)
Ni (0.7602, 0.8230, 0.3230)
Ni (0.2398, 0.6770, 0.8230)
Al (0.0000, 0.1184, 0.3816)
Ni (0.5000, 0.5000, 0.0000)
Ni (0.2398, 0.3230, 0.1770)
Ni (0.2398, 0.1770, 0.6770)
Ni (0.5000, 0.2895, 0.4343)
Th (0.0000, 0.5000, 0.5000)
Th (0.0000, 0.0000, 0.0000)
Ni (0.5000, 0.0657, 0.2105)
Ni (0.5000, 0.9343, 0.7895)
Ni (0.5000, 0.4343, 0.7105)
Ni (0.2398, 0.8230, 0.3230)
Ni (0.7602, 0.1770, 0.6770)
Ni (0.5000, 0.0000, 0.5000)
Al (0.0000, 0.3816, 0.8816)
Ni (0.5000, 0.5657, 0.2895)
Al (0.0000, 0.6184, 0.1184)

Output
E_tot   -143.34 eV for the cell shown
Crystal system   tetragonal
Energy of formation from the pure elements   -0.3942 eV/atom
Density of states at the Fermi level   29.6 states/eV per cell

---

Entry 7:
VCoAs2: relaxed, GGA-PBE.

Cell lengths 4.0960, 4.0960, 8.2513 Å; angles 75.63, 75.63, 90.00 degrees
Each line ends with the local moment (μB).
Sites, in units of the cell vectors:
Co (0.0000, 0.0000, 0.0000)  -0.42
As (0.6543, 0.1250, 0.2500)  -0.01
Co (0.7500, 0.2500, 0.5000)  -0.42
V (0.5000, 0.5000, 0.0000)  1.49
As (0.8750, 0.9043, 0.7500)  -0.01
V (0.2500, 0.7500, 0.5000)  1.49
As (0.0957, 0.6250, 0.2500)  -0.01
As (0.3750, 0.3457, 0.7500)  -0.01

Output
E_tot   -50.29 eV for the cell shown
Crystal system   tetragonal
Energy of formation from the pure elements   0.0948 eV/atom
Density of states at the Fermi level   7.8 states/eV per cell

---

Entry 8:
Be2BiS: relaxed, GGA-PBE.

Cell lengths 4.5522, 4.5522, 4.5522 Å; angles 60.00, 60.00, 60.00 degrees
Sites, in units of the cell vectors:
Be (0.2500, 0.2500, 0.2500)
Be (0.7500, 0.7500, 0.7500)
Bi (0.5000, 0.5000, 0.5000)
S (0.0000, 0.0000, 0.0000)

Output
E_tot   -12.13 eV for the cell shown
ΔE_f (raw)   0.834 eV/atom
Crystal system   cubic
Density of states at the Fermi level   2.2 states/eV per cell